Record 1
First-principles (PBE-GGA) data for a geometry-optimized ScTaSb2 structure, as listed in Alexandria.

a = 3.8444 Å, b = 3.8444 Å, c = 5.9825 Å
α = 90.00°, β = 90.00°, γ = 90.00°
Space group P4mm (No. 99)
Inequivalent atoms, fractional coordinates:
Sc 0.0000 0.0000 0.0000 [1 per cell]
Ta 0.5000 0.5000 0.3098 [1 per cell]
Sb 0.0000 0.0000 0.4817 [1 per cell]
Sb 0.5000 0.5000 0.8251 [1 per cell]

polymorph energy (0 for the lowest one): 0.0 meV per atom
total DFT energy (no corrections): -6.883 eV/atom
E_form (uncorrected): -6.37 kcal/mol of atoms
V: 88.4 Å³/cell

Record 2
First-principles (PBE-GGA) data for a geometry-optimized ScTa4Sb structure, as listed in Alexandria.

a = 7.9055 Å, b = 7.9055 Å, c = 7.9055 Å
α = 90.00°, β = 90.00°, γ = 90.00°
Space group F-43m (No. 216)
Inequivalent atoms, fractional coordinates:
Sc 0.0000 0.0000 0.0000 [4 per cell]
Ta 0.1269 0.1269 0.6269 [16 per cell]
Sb 0.2500 0.2500 0.2500 [4 per cell]

total DFT energy (no corrections): -9.393 eV/atom
E_form (uncorrected): 5.79 kcal/mol of atoms
V: 494.1 Å³/cell

Record 3
First-principles (PBE-GGA) data for a geometry-optimized ScTaSb structure, as listed in Alexandria.

a = 3.3133 Å, b = 3.3133 Å, c = 6.8933 Å
α = 90.00°, β = 90.00°, γ = 120.00°
Space group P3m1 (No. 156)
Inequivalent atoms, fractional coordinates:
Sc 0.0000 0.0000 0.0000 [1 per cell]
Ta 0.6667 0.3333 0.3295 [1 per cell]
Sb 0.3333 0.6667 0.6440 [1 per cell]

total DFT energy (no corrections): -7.456 eV/atom
E_form (uncorrected): -0.47 kcal/mol of atoms
V: 65.5 Å³/cell

Number 1: total moment 0.00 μB/cell. Number 2: total moment 0.00 μB/cell. Number 3: total moment 0.00 μB/cell.